Entry 1:
A plane-wave DFT calculation with PBE was carried out for a relaxed NdSmTm4 crystal. Values from VASP.

Results
Calculated volume = 389.0 Å³/cell
Space-group type = C2/c, No. 15
Energy of formation from the pure elements = 0.15 eV per atom
DOS(E_F) = 20.51 states/eV per cell
Raw total energy = -4.414 eV/atom

Quantum ESPRESSO input file:
```
&SYSTEM
  ibrav = 0, nat = 12, ntyp = 3
/
ATOMIC_SPECIES
Nd 144.24 Nd.upf
Sm 150.36 Sm.upf
Tm 168.93 Tm.upf
CELL_PARAMETERS angstrom
4.397 -7.296 0.000
4.397 7.296 0.000
-2.113 0.000 6.062
ATOMIC_POSITIONS angstrom
Nd 2.812 6.056 4.547
Nd 3.869 -6.056 1.516
Sm 3.869 0.040 1.516
Sm 2.812 -0.040 4.547
Tm -0.061 1.958 5.335
Tm 2.587 2.845 2.842
Tm 0.996 -1.958 2.303
Tm 5.151 2.845 0.190
Tm 1.530 -2.845 5.873
Tm 5.686 1.958 3.759
Tm 4.094 -2.845 3.221
Tm 6.742 -1.958 0.728
```

---

Entry 2:
A plane-wave DFT calculation with PBE was carried out for a relaxed Nd3Sm4Tm3 crystal. Values from VASP.

Results
Calculated volume = 336.2 Å³/cell
Space-group type = Amm2, No. 38
Energy of formation from the pure elements = 0.09 eV per atom
DOS(E_F) = 10.33 states/eV per cell
Raw total energy = -4.571 eV/atom

Quantum ESPRESSO input file:
```
&SYSTEM
  ibrav = 0, nat = 10, ntyp = 3
/
ATOMIC_SPECIES
Nd 144.24 Nd.upf
Sm 150.36 Sm.upf
Tm 168.93 Tm.upf
CELL_PARAMETERS angstrom
3.784 0.000 0.000
0.000 6.675 6.655
0.000 -6.675 6.655
ATOMIC_POSITIONS angstrom
Nd 0.000 0.000 0.000
Nd 1.892 -3.277 7.733
Nd 1.892 3.277 7.733
Sm 1.892 0.000 2.723
Sm 1.892 0.000 6.092
Sm 1.892 -1.723 11.011
Sm 1.892 1.723 11.011
Tm 0.000 -2.263 4.404
Tm 0.000 2.263 4.404
Tm 0.000 0.000 8.774
```

---

Entry 3:
A plane-wave DFT calculation with PBE was carried out for a relaxed Nd6SmTm12 crystal. Values from VASP.

Results
Calculated volume = 630.6 Å³/cell
Space-group type = R-3m, No. 166
Energy of formation from the pure elements = 0.22 eV per atom
DOS(E_F) = 31.54 states/eV per cell
Raw total energy = -4.358 eV/atom

Quantum ESPRESSO input file:
```
&SYSTEM
  ibrav = 0, nat = 19, ntyp = 3
/
ATOMIC_SPECIES
Nd 144.24 Nd.upf
Sm 150.36 Sm.upf
Tm 168.93 Tm.upf
CELL_PARAMETERS angstrom
6.594 3.807 4.187
-6.594 3.807 4.187
0.000 -7.614 4.187
ATOMIC_POSITIONS angstrom
Nd -2.938 -1.696 5.669
Nd 0.000 -3.392 6.893
Nd -2.938 1.696 6.893
Nd 2.938 -1.696 5.669
Nd 0.000 3.392 5.669
Nd 2.938 1.696 6.893
Sm 0.000 0.000 6.281
Tm -1.685 -4.695 4.187
Tm -4.909 0.888 4.187
Tm 0.000 -2.090 2.972
Tm -1.810 1.045 2.972
Tm 1.685 -4.695 4.187
Tm -3.223 3.807 4.187
Tm 1.810 1.045 2.972
Tm -1.810 -1.045 9.590
Tm 4.909 0.888 4.187
Tm 3.223 3.807 4.187
Tm 1.810 -1.045 9.590
Tm 0.000 2.090 9.590
```

---

Entry 4:
A plane-wave DFT calculation with PBE was carried out for a relaxed Nd2SmTm4 crystal. Values from VASP.

Results
Calculated volume = 466.4 Å³/cell
Space-group type = Imma, No. 74
Energy of formation from the pure elements = 0.27 eV per atom
DOS(E_F) = 23.90 states/eV per cell
Raw total energy = -4.326 eV/atom

Quantum ESPRESSO input file:
```
&SYSTEM
  ibrav = 0, nat = 14, ntyp = 3
/
ATOMIC_SPECIES
Nd 144.24 Nd.upf
Sm 150.36 Sm.upf
Tm 168.93 Tm.upf
CELL_PARAMETERS angstrom
-3.330 5.718 6.123
3.330 -5.718 6.123
3.330 5.718 -6.123
ATOMIC_POSITIONS angstrom
Nd 0.000 0.000 0.000
Nd 0.000 2.859 2.765
Nd 0.000 5.718 0.000
Nd 3.330 2.859 3.358
Sm 1.665 2.859 -3.061
Sm 1.665 -2.859 3.061
Tm 3.330 -0.095 1.674
Tm 1.811 2.859 0.130
Tm 4.850 2.859 0.130
Tm 3.330 5.624 -1.674
Tm 0.000 0.095 7.797
Tm -1.519 2.859 5.993
Tm 1.519 2.859 5.993
Tm 0.000 5.813 4.449
```

---

Entry 5:
A plane-wave DFT calculation with PBE was carried out for a relaxed Nd6SmTm8 crystal. Values from VASP.

Results
Calculated volume = 492.7 Å³/cell
Space-group type = R-3, No. 148
Energy of formation from the pure elements = 0.13 eV per atom
DOS(E_F) = 21.70 states/eV per cell
Raw total energy = -4.480 eV/atom

Quantum ESPRESSO input file:
```
&SYSTEM
  ibrav = 0, nat = 15, ntyp = 3
/
ATOMIC_SPECIES
Nd 144.24 Nd.upf
Sm 150.36 Sm.upf
Tm 168.93 Tm.upf
CELL_PARAMETERS angstrom
4.521 2.610 6.957
-4.521 2.610 6.957
0.000 -5.221 6.957
ATOMIC_POSITIONS angstrom
Nd -3.116 -1.154 9.508
Nd -0.559 -3.276 11.364
Nd -2.558 2.122 11.364
Nd 2.558 -2.122 9.508
Nd 0.559 3.276 9.508
Nd 3.116 1.154 11.364
Sm 0.000 0.000 10.436
Tm 0.000 0.000 1.595
Tm -0.159 -1.984 7.490
Tm -1.638 1.130 7.490
Tm -1.797 -0.854 13.383
Tm 1.797 0.854 7.490
Tm 1.638 -1.130 13.383
Tm 0.159 1.984 13.383
Tm 0.000 0.000 19.277
```

---

Entry 6:
A plane-wave DFT calculation with PBE was carried out for a relaxed Nd4Sm5Tm3 crystal. Values from VASP.

Results
Calculated volume = 409.9 Å³/cell
Space-group type = C2/m, No. 12
Energy of formation from the pure elements = 0.22 eV per atom
DOS(E_F) = 20.00 states/eV per cell
Raw total energy = -4.457 eV/atom

Quantum ESPRESSO input file:
```
&SYSTEM
  ibrav = 0, nat = 12, ntyp = 3
/
ATOMIC_SPECIES
Nd 144.24 Nd.upf
Sm 150.36 Sm.upf
Tm 168.93 Tm.upf
CELL_PARAMETERS angstrom
8.164 -2.981 0.000
8.164 2.981 0.000
-4.239 0.000 8.420
ATOMIC_POSITIONS angstrom
Nd -0.522 0.000 3.733
Nd -0.172 0.000 7.403
Nd 12.262 0.000 1.017
Nd 12.612 0.000 4.686
Sm 0.000 0.000 0.000
Sm 2.756 0.000 5.165
Sm 5.715 0.000 2.495
Sm 6.375 0.000 5.925
Sm 9.334 0.000 3.255
Tm 2.454 0.000 1.940
Tm 8.164 0.000 0.000
Tm 9.636 0.000 6.479
```

---

Entry 7:
A plane-wave DFT calculation with PBE was carried out for a relaxed Nd4Sm4Tm3 crystal. Values from VASP.

Results
Calculated volume = 365.0 Å³/cell
Space-group type = P-1, No. 2
Energy of formation from the pure elements = 0.06 eV per atom
DOS(E_F) = 19.24 states/eV per cell
Raw total energy = -4.612 eV/atom

Quantum ESPRESSO input file:
```
&SYSTEM
  ibrav = 0, nat = 11, ntyp = 3
/
ATOMIC_SPECIES
Nd 144.24 Nd.upf
Sm 150.36 Sm.upf
Tm 168.93 Tm.upf
CELL_PARAMETERS angstrom
3.559 0.000 0.000
0.000 5.698 0.000
1.777 2.832 18.000
ATOMIC_POSITIONS angstrom
Nd 0.888 1.426 7.338
Nd 0.888 4.273 2.536
Nd 4.449 4.257 15.463
Nd 4.449 7.104 10.662
Sm 0.888 4.275 5.751
Sm 0.890 1.424 0.629
Sm 4.446 7.106 17.371
Sm 4.449 4.255 12.249
Tm 2.670 7.106 13.890
Tm 2.668 4.265 9.000
Tm 2.667 1.424 4.110
```

---

Entry 8:
A plane-wave DFT calculation with PBE was carried out for a relaxed Nd3SmY2Tm6 crystal. Values from VASP.

Results
Calculated volume = 382.1 Å³/cell
Space-group type = C2/m, No. 12
Energy of formation from the pure elements = 0.02 eV per atom
DOS(E_F) = 15.28 states/eV per cell
Raw total energy = -4.876 eV/atom

Quantum ESPRESSO input file:
```
&SYSTEM
  ibrav = 0, nat = 12, ntyp = 4
/
ATOMIC_SPECIES
Nd 144.24 Nd.upf
Sm 150.36 Sm.upf
Y 88.91 Y.upf
Tm 168.93 Tm.upf
CELL_PARAMETERS angstrom
3.091 -5.351 0.000
3.091 5.351 0.000
-2.054 0.000 11.550
ATOMIC_POSITIONS angstrom
Nd 0.000 0.000 0.000
Nd 3.091 1.785 0.000
Nd 3.091 -1.785 0.000
Sm 2.064 0.000 5.775
Y 2.064 3.566 5.775
Y 2.064 -3.566 5.775
Tm 1.033 1.782 2.908
Tm 0.008 0.000 8.640
Tm 1.033 -1.782 2.908
Tm 3.095 1.782 8.641
Tm 4.120 0.000 2.909
Tm 3.095 -1.782 8.641
```

---

Entry 9:
A plane-wave DFT calculation with PBE was carried out for a relaxed Nd2Sm2YTm2 crystal. Values from VASP.

Results
Calculated volume = 230.1 Å³/cell
Space-group type = C2/m, No. 12
Energy of formation from the pure elements = 0.02 eV per atom
DOS(E_F) = 9.68 states/eV per cell
Raw total energy = -4.892 eV/atom

Quantum ESPRESSO input file:
```
&SYSTEM
  ibrav = 0, nat = 7, ntyp = 4
/
ATOMIC_SPECIES
Nd 144.24 Nd.upf
Sm 150.36 Sm.upf
Y 88.91 Y.upf
Tm 168.93 Tm.upf
CELL_PARAMETERS angstrom
5.683 -2.542 0.000
5.683 2.542 0.000
-1.157 0.000 7.963
ATOMIC_POSITIONS angstrom
Nd 0.568 0.000 1.734
Nd 9.641 0.000 6.229
Sm 3.969 0.000 0.565
Sm 6.239 0.000 7.398
Y 5.104 0.000 3.982
Tm 1.695 0.000 5.104
Tm 8.513 0.000 2.859
```

---

Entry 10:
A plane-wave DFT calculation with PBE was carried out for a relaxed NdSm4Y2Tm2 crystal. Values from VASP.

Results
Calculated volume = 294.3 Å³/cell
Space-group type = C2/m, No. 12
Energy of formation from the pure elements = 0.02 eV per atom
DOS(E_F) = 12.85 states/eV per cell
Raw total energy = -5.037 eV/atom

Quantum ESPRESSO input file:
```
&SYSTEM
  ibrav = 0, nat = 9, ntyp = 4
/
ATOMIC_SPECIES
Nd 144.24 Nd.upf
Sm 150.36 Sm.upf
Y 88.91 Y.upf
Tm 168.93 Tm.upf
CELL_PARAMETERS angstrom
7.622 -2.532 0.000
7.622 2.532 0.000
-2.524 0.000 7.623
ATOMIC_POSITIONS angstrom
Nd 0.000 0.000 0.000
Sm 2.555 0.000 2.525
Sm 5.093 0.000 5.099
Sm 7.627 0.000 2.524
Sm 10.165 0.000 5.098
Y 0.019 0.000 5.088
Y 12.702 0.000 2.535
Tm 5.056 0.000 0.002
Tm 7.664 0.000 7.621
```

---

Entry 11:
A plane-wave DFT calculation with PBE was carried out for a relaxed NdSmYTm crystal. Values from VASP.

Results
Calculated volume = 132.6 Å³/cell
Space-group type = F-43m, No. 216
Energy of formation from the pure elements = 0.11 eV per atom
DOS(E_F) = 7.39 states/eV per cell
Raw total energy = -4.998 eV/atom

Quantum ESPRESSO input file:
```
&SYSTEM
  ibrav = 0, nat = 4, ntyp = 4
/
ATOMIC_SPECIES
Nd 144.24 Nd.upf
Sm 150.36 Sm.upf
Y 88.91 Y.upf
Tm 168.93 Tm.upf
CELL_PARAMETERS angstrom
0.000 4.047 4.047
4.047 0.000 4.047
4.047 4.047 0.000
ATOMIC_POSITIONS angstrom
Nd 0.000 0.000 0.000
Sm 4.047 4.047 4.047
Y 2.023 2.023 2.023
Tm 6.070 6.070 6.070
```

---

Entry 12:
A plane-wave DFT calculation with PBE was carried out for a relaxed NdSmY5Tm2 crystal. Values from VASP.

Results
Calculated volume = 594.8 Å³/cell
Space-group type = Cmc2_1, No. 36
Energy of formation from the pure elements = 0.16 eV per atom
DOS(E_F) = 31.44 states/eV per cell
Raw total energy = -5.477 eV/atom

Quantum ESPRESSO input file:
```
&SYSTEM
  ibrav = 0, nat = 18, ntyp = 4
/
ATOMIC_SPECIES
Nd 144.24 Nd.upf
Sm 150.36 Sm.upf
Y 88.91 Y.upf
Tm 168.93 Tm.upf
CELL_PARAMETERS angstrom
2.821 -10.080 0.000
2.821 10.080 0.000
0.000 0.000 10.458
ATOMIC_POSITIONS angstrom
Nd 2.821 8.359 5.229
Nd 2.821 -8.359 0.000
Sm 2.821 3.965 0.745
Sm 2.821 -3.965 5.973
Y 2.821 9.615 8.280
Y 2.821 7.805 0.849
Y 2.821 6.034 7.984
Y 2.821 5.599 3.921
Y 2.821 0.327 0.824
Y 2.821 -0.327 6.053
Y 2.821 -5.599 9.150
Y 2.821 -6.034 2.755
Y 2.821 -7.805 6.078
Y 2.821 -9.615 3.052
Tm 2.821 2.275 3.934
Tm 2.821 2.262 8.258
Tm 2.821 -2.262 3.029
Tm 2.821 -2.275 9.163
```